P.
! DyZrAl2, optimized geometry, DFT PBE; values from VASP
&SYSTEM
  ibrav = 0, nat = 4, ntyp = 3
/
ATOMIC_SPECIES
Zr 91.22 Zr.upf
Dy 162.50 Dy.upf
Al 26.98 Al.upf
CELL_PARAMETERS angstrom
4.936 0.000 0.000
2.468 4.275 0.000
2.468 1.425 4.031
ATOMIC_POSITIONS angstrom
Zr 4.936 2.850 2.015
Dy 0.000 0.000 0.000
Al 7.405 4.275 3.023
Al 2.468 1.425 1.008
! Calculated volume   85 Å³ per cell
! Space-group type   Fm-3m

Q.
! DyZrAl2, optimized geometry, DFT PBE; values from VASP
&SYSTEM
  ibrav = 0, nat = 4, ntyp = 3
/
ATOMIC_SPECIES
Zr 91.22 Zr.upf
Dy 162.50 Dy.upf
Al 26.98 Al.upf
CELL_PARAMETERS angstrom
-0.259 1.930 3.047
-3.512 0.559 -0.653
-1.481 -5.434 3.316
ATOMIC_POSITIONS angstrom
Zr -1.886 1.244 1.197
Dy -2.626 -1.473 2.855
Al -1.158 -4.248 2.592
Al -0.323 -1.187 0.724
! Calculated volume   85 Å³ per cell
! Space-group type   P4/mmm

It comes down to Q, which is 59 meV per atom more stable than the next structure.

P.
! DyZr2Al6, optimized geometry, DFT PBE; values from VASP
&SYSTEM
  ibrav = 0, nat = 9, ntyp = 3
/
ATOMIC_SPECIES
Al 26.98 Al.upf
Dy 162.50 Dy.upf
Zr 91.22 Zr.upf
CELL_PARAMETERS angstrom
3.267 0.000 0.000
0.000 6.726 -3.884
0.000 0.000 7.767
ATOMIC_POSITIONS angstrom
Al 1.633 0.000 2.612
Al 1.633 4.465 2.578
Al 1.633 2.262 1.306
Al 1.633 4.465 5.189
Al 1.633 2.262 -1.306
Al 1.633 0.000 5.155
Dy 0.000 0.000 7.767
Zr 0.000 2.242 3.884
Zr 3.267 4.484 0.000
! Calculated volume   171 Å³ per cell
! Space-group type   P6/mmm

Q.
! DyZr2Al6, optimized geometry, DFT PBE; values from VASP
&SYSTEM
  ibrav = 0, nat = 9, ntyp = 3
/
ATOMIC_SPECIES
Zr 91.22 Zr.upf
Dy 162.50 Dy.upf
Al 26.98 Al.upf
CELL_PARAMETERS angstrom
-3.112 2.588 -1.269
-1.425 -1.841 -7.350
-5.588 -4.570 -2.707
ATOMIC_POSITIONS angstrom
Zr -7.076 -1.674 -7.329
Zr -3.048 -2.149 -3.997
Dy 0.000 0.000 0.000
Al -5.839 -2.421 -4.797
Al -3.094 0.604 -5.358
Al -4.578 -2.820 -8.702
Al -7.030 -4.427 -5.968
Al -4.285 -1.402 -6.530
Al -5.546 -1.003 -2.624
! Calculated volume   190 Å³ per cell
! Space-group type   Immm

It comes down to P, which is 155 meV per atom more stable than the next structure.

P.
! Dy3ZrAl8, optimized geometry, DFT PBE; values from VASP
&SYSTEM
  ibrav = 0, nat = 12, ntyp = 3
/
ATOMIC_SPECIES
Al 26.98 Al.upf
Zr 91.22 Zr.upf
Dy 162.50 Dy.upf
CELL_PARAMETERS angstrom
5.495 0.000 0.000
2.747 4.758 0.000
2.747 1.586 8.991
ATOMIC_POSITIONS angstrom
Al 6.873 5.548 6.137
Al 2.747 1.586 3.929
Al 6.865 2.381 1.728
Al 8.242 4.758 8.432
Al 8.242 3.178 6.137
Al 4.124 2.381 1.728
Al 9.610 5.548 6.137
Al 5.495 4.755 1.728
Zr 8.242 4.758 3.375
Dy 5.495 3.172 7.866
Dy 5.495 3.172 4.483
Dy 8.242 4.758 0.014
! Calculated volume   235 Å³ per cell
! Space-group type   R3m

Q.
! Dy3ZrAl8, optimized geometry, DFT PBE; values from VASP
&SYSTEM
  ibrav = 0, nat = 12, ntyp = 3
/
ATOMIC_SPECIES
Al 26.98 Al.upf
Dy 162.50 Dy.upf
Zr 91.22 Zr.upf
CELL_PARAMETERS angstrom
-2.245 -3.925 3.079
-1.024 0.185 -5.370
7.190 -5.332 -1.554
ATOMIC_POSITIONS angstrom
Al 2.166 -3.852 -3.331
Al 4.212 -5.943 0.354
Al 1.140 -1.939 -1.640
Al 0.615 -1.844 -4.396
Al 5.748 -6.509 -4.106
Al -0.537 -3.858 -2.816
Al 3.711 -5.853 -2.270
Al 2.614 -7.771 -0.766
Dy 6.694 -4.964 -1.447
Dy -1.347 -2.919 0.157
Dy 1.293 -4.876 -0.414
Zr 4.084 -3.029 -0.883
! Calculated volume   235 Å³ per cell
! Space-group type   P3m1

It comes down to P, which is 13 meV per atom more stable than the next structure.

P.
! Er3Al4, optimized geometry, DFT PBE; values from VASP
&SYSTEM
  ibrav = 0, nat = 7, ntyp = 2
/
ATOMIC_SPECIES
Er 167.26 Er.upf
Al 26.98 Al.upf
CELL_PARAMETERS angstrom
-4.500 -0.243 0.100
0.032 -1.826 -3.013
2.799 -7.319 6.524
ATOMIC_POSITIONS angstrom
Er 0.222 -3.287 1.994
Er -1.892 -6.101 1.617
Er -2.250 -0.122 0.050
Al -2.077 -3.367 -0.041
Al -1.761 -7.364 4.444
Al 0.091 -2.024 -0.832
Al 0.407 -6.021 3.652
! Calculated volume   155 Å³ per cell
! Space-group type   Immm

Q.
! Er3Al4, optimized geometry, DFT PBE; values from VASP
&SYSTEM
  ibrav = 0, nat = 14, ntyp = 2
/
ATOMIC_SPECIES
Er 167.26 Er.upf
Al 26.98 Al.upf
CELL_PARAMETERS angstrom
4.133 -0.003 0.000
-2.070 5.509 0.000
0.000 0.000 14.122
ATOMIC_POSITIONS angstrom
Er 0.000 0.062 3.535
Er 2.064 2.269 1.414
Er 2.062 5.469 10.596
Er -0.002 3.262 12.718
Er 2.064 2.269 5.657
Er -0.002 3.263 8.475
Al 2.067 0.896 12.735
Al 0.000 0.012 7.066
Al 2.063 2.421 10.597
Al -0.004 4.635 1.397
Al -0.004 4.635 5.674
Al -0.001 3.110 3.536
Al 0.000 0.013 0.005
Al 2.067 0.896 8.458
! Calculated volume   321 Å³ per cell
! Space-group type   P2_1/m

It comes down to P, which is 34 meV per atom more stable than the next structure.